#a
Entry from Alexandria via LeMat-Bulk: crystalline HfZrTe2N at its relaxed geometry (PBE).

```
data_HfZrTe2N
_chemical_formula_sum 'Hf1 Zr1 Te2 N1'
_symmetry_space_group_name_H-M 'P 4/m m m'
_symmetry_Int_Tables_number 123
_symmetry_space_group_name_Hall '-P 4 2'
_cell_length_a 5.638
_cell_length_b 5.638
_cell_length_c 3.937
_cell_angle_alpha 90.00
_cell_angle_beta 90.00
_cell_angle_gamma 90.00
loop_
_atom_site_label
_atom_site_type_symbol
_atom_site_fract_x
_atom_site_fract_y
_atom_site_fract_z
Hf1 Hf 0.000 0.000 0.000
Zr1 Zr 0.500 0.500 0.500
Te1 Te 0.000 0.500 0.000
N1 N 0.000 0.000 0.500
```

Results
size of the total moment = 0.176 μB per atom
D(E_F) = 0.631 states/eV per atom

***

#b
Entry from Alexandria via LeMat-Bulk: crystalline HfZrTe2N at its relaxed geometry (PBE).

```
data_HfZrTe2N
_chemical_formula_sum 'Hf1 Zr1 Te2 N1'
_symmetry_space_group_name_H-M 'P 4/m m m'
_symmetry_Int_Tables_number 123
_symmetry_space_group_name_Hall '-P 4 2'
_cell_length_a 5.672
_cell_length_b 5.672
_cell_length_c 3.956
_cell_angle_alpha 90.00
_cell_angle_beta 90.00
_cell_angle_gamma 90.00
loop_
_atom_site_label
_atom_site_type_symbol
_atom_site_fract_x
_atom_site_fract_y
_atom_site_fract_z
Hf1 Hf 0.000 0.000 0.000
Zr1 Zr 0.500 0.500 0.500
Te1 Te 0.000 0.500 0.500
N1 N 0.500 0.500 0.000
```

Results
size of the total moment = 0.000 μB per atom
D(E_F) = 0.726 states/eV per atom

***

Name the most stable of them. #a.

***

#a
Entry from Alexandria via LeMat-Bulk: crystalline Hf2TiN3 at its relaxed geometry (PBE).

```
data_Hf2TiN3
_chemical_formula_sum 'Hf4 Ti2 N6'
_symmetry_space_group_name_H-M 'I 4/m m m'
_symmetry_Int_Tables_number 139
_symmetry_space_group_name_Hall '-I 4 2'
_cell_length_a 3.153
_cell_length_b 3.153
_cell_length_c 13.439
_cell_angle_alpha 90.00
_cell_angle_beta 90.00
_cell_angle_gamma 90.00
loop_
_atom_site_label
_atom_site_type_symbol
_atom_site_fract_x
_atom_site_fract_y
_atom_site_fract_z
Hf1 Hf 0.000 0.000 0.160
Ti1 Ti 0.000 0.000 0.500
N1 N 0.000 0.000 0.000
N2 N 0.000 0.000 0.333
```

Results
size of the total moment = 0.000 μB per atom
D(E_F) = 0.253 states/eV per atom

***

#b
Entry from Alexandria via LeMat-Bulk: crystalline Hf2TiN3 at its relaxed geometry (PBE).

```
data_Hf2TiN3
_chemical_formula_sum 'Hf4 Ti2 N6'
_symmetry_space_group_name_H-M 'I m m m'
_symmetry_Int_Tables_number 71
_symmetry_space_group_name_Hall '-I 2 2'
_cell_length_a 3.169
_cell_length_b 4.442
_cell_length_c 9.460
_cell_angle_alpha 90.00
_cell_angle_beta 90.00
_cell_angle_gamma 90.00
loop_
_atom_site_label
_atom_site_type_symbol
_atom_site_fract_x
_atom_site_fract_y
_atom_site_fract_z
Hf1 Hf 0.000 0.000 0.164
Ti1 Ti 0.000 0.000 0.500
N1 N 0.000 0.500 0.166
N2 N 0.000 0.500 0.500
```

Results
size of the total moment = 0.000 μB per atom
D(E_F) = 0.311 states/eV per atom

***

Name the most stable of them. #a.

***

#a
Entry from Alexandria via LeMat-Bulk: crystalline HfTi2TlN at its relaxed geometry (PBE).

```
data_HfTi2TlN
_chemical_formula_sum 'Hf1 Ti2 Tl1 N1'
_symmetry_space_group_name_H-M 'P 4/m m m'
_symmetry_Int_Tables_number 123
_symmetry_space_group_name_Hall '-P 4 2'
_cell_length_a 4.202
_cell_length_b 4.202
_cell_length_c 4.533
_cell_angle_alpha 90.00
_cell_angle_beta 90.00
_cell_angle_gamma 90.00
loop_
_atom_site_label
_atom_site_type_symbol
_atom_site_fract_x
_atom_site_fract_y
_atom_site_fract_z
Hf1 Hf 0.000 0.000 0.000
Ti1 Ti 0.000 0.500 0.500
Tl1 Tl 0.500 0.500 0.000
N1 N 0.000 0.000 0.500
```

Results
size of the total moment = 0.000 μB per atom
D(E_F) = 0.787 states/eV per atom

***

#b
Entry from Alexandria via LeMat-Bulk: crystalline HfTi2TlN at its relaxed geometry (PBE).

```
data_HfTi2TlN
_chemical_formula_sum 'Hf1 Ti2 Tl1 N1'
_symmetry_space_group_name_H-M 'P 4/m m m'
_symmetry_Int_Tables_number 123
_symmetry_space_group_name_Hall '-P 4 2'
_cell_length_a 5.233
_cell_length_b 5.233
_cell_length_c 4.049
_cell_angle_alpha 90.00
_cell_angle_beta 90.00
_cell_angle_gamma 90.00
loop_
_atom_site_label
_atom_site_type_symbol
_atom_site_fract_x
_atom_site_fract_y
_atom_site_fract_z
Hf1 Hf 0.000 0.000 0.000
Ti1 Ti 0.000 0.500 0.000
Tl1 Tl 0.500 0.500 0.500
N1 N 0.000 0.000 0.500
```

Results
size of the total moment = 0.405 μB per atom
D(E_F) = 0.995 states/eV per atom

***

Name the most stable of them. #a.